Here is Dy2YPuN4 after structural relaxation from the Alexandria database. Energies are from PBE.

Values from the calculation:
Calculated total energy   -9.492 eV/atom
Uncorrected formation energy   -1.58 eV per atom
Fermi-level density of states   0.8696 states/eV/atom

a b c (Å): 6.001 3.481 6.002
angles (deg): 90.00 109.37 90.00
Space group P2/m (No. 10)
Inequivalent atoms, fractional coordinates:
Dy 0.000 0.000 0.000 x1
Dy 0.000 0.500 0.500 x1
Y 0.500 0.000 0.500 x1
Pu 0.500 0.500 0.000 x1
N 0.253 0.500 0.246 x2
N 0.256 0.000 0.756 x2